No. 1
The following is a DFT calculation (PBE-GGA) of a relaxed structure of Be2PPt.

Values from the calculation:
- Raw total energy: -4.85 eV/atom
- Spin magnetization: 0.00 Bohr magnetons per cell
- Space-group type: P4/mmm, No. 123
- Calculated formation energy: -128.4 meV per atom
- Crystal system: tetragonal

Cell lengths 3.7491, 3.7405, 3.3139 Å; angles 90.00, 90.00, 90.00 degrees
With the nearest neighbours (Å) after each atom.
Fractional coordinates of all 4 atoms:
Be1 0.5000 0.5000 0.0000  4 P 2.50, 4 Pt 2.50, 4 Be 2.65
Be2 0.0000 0.0000 0.0000  4 Pt 2.50, 4 P 2.50, 4 Be 2.65
Pt1 0.0000 0.5000 0.5000  8 Be 2.50, 4 P 2.65
P1 0.5000 0.0000 0.5000  8 Be 2.50, 4 Pt 2.65

=====

No. 2
The following is a DFT calculation (PBE-GGA) of a relaxed structure of Be2PPt.

Values from the calculation:
- Raw total energy: -4.94 eV/atom
- Spin magnetization: 0.00 Bohr magnetons per cell
- Space-group type: Cm, No. 8
- Calculated formation energy: -215.0 meV per atom
- Crystal system: monoclinic

Cell lengths 4.0884, 4.0884, 4.0638 Å; angles 81.83, 81.83, 45.30 degrees
With the nearest neighbours (Å) after each atom.
Fractional coordinates of all 4 atoms:
Pt1 0.2659 0.2659 0.1976  5 Be 2.32-2.47, 1 P 2.44
P1 0.4833 0.4833 0.5843  5 Be 2.20-2.40, 1 Pt 2.44
Be1 0.0041 0.0041 0.9644  2 P 2.23, 3 Be 2.24-2.47, 3 Pt 2.32-2.47
Be2 0.7468 0.7468 0.7537  3 P 2.20-2.40, 1 Be 2.24, 2 Pt 2.42

=====

No. 3
The following is a DFT calculation (PBE-GGA) of a relaxed structure of Be2PPt8.

Values from the calculation:
- Raw total energy: -5.75 eV/atom
- Spin magnetization: 0.00 Bohr magnetons per cell
- Space-group type: C2/m, No. 12
- Calculated formation energy: -189.8 meV per atom
- Crystal system: monoclinic

Cell lengths 6.4518, 5.2790, 5.2790 Å; angles 87.74, 78.40, 78.40 degrees
With the nearest neighbours (Å) after each atom.
Fractional coordinates of all 11 atoms:
Pt1 0.2854 0.0526 0.6703  1 Be 2.31, 1 P 2.32
Pt2 0.7551 0.8152 0.8152  1 Be 2.37, 1 P 2.39
Pt3 0.2854 0.6703 0.0526  1 Be 2.31, 1 P 2.32
Pt4 0.7146 0.9474 0.3297  1 Be 2.31, 1 P 2.32
Pt5 0.8141 0.4308 0.4308  2 Be 2.21-2.25
Pt6 0.1859 0.5692 0.5692  2 Be 2.21-2.25
Pt7 0.2449 0.1848 0.1848  1 Be 2.37, 1 P 2.39
Pt8 0.7146 0.3297 0.9474  1 Be 2.31, 1 P 2.32
Be1 0.4995 0.3570 0.3570  1 Be 2.18, 5 Pt 2.21-2.37
Be2 0.5005 0.6430 0.6430  1 Be 2.18, 5 Pt 2.21-2.37
P1 0.0000 0.0000 0.0000  6 Pt 2.32-2.39

=====

No. 4
The following is a DFT calculation (PBE-GGA) of a relaxed structure of Pu2BePPt6.

Values from the calculation:
- Raw total energy: -7.88 eV/atom
- Spin magnetization: 10.08 Bohr magnetons per cell
- Space-group type: Fm-3m, No. 225
- Calculated formation energy: -472.3 meV per atom
- Crystal system: cubic

Cell lengths 6.3822, 6.3822, 6.3821 Å; angles 60.00, 60.00, 90.00 degrees
With the nearest neighbours (Å) after each atom.
Fractional coordinates of all 10 atoms:
Pt1 0.2565 0.2565 0.4870  1 Be 2.20, 1 P 2.32
Pt2 0.7435 0.7435 0.0000  1 Be 2.20, 1 P 2.32
Pt3 0.2565 0.2565 0.0000  1 Be 2.20, 1 P 2.32
Pt4 0.7435 0.2565 0.0000  1 Be 2.20, 1 P 2.32
Pt5 0.2565 0.7435 0.0000  1 Be 2.20, 1 P 2.32
Pt6 0.7435 0.7435 0.5130  1 Be 2.20, 1 P 2.32
P1 0.0000 0.0000 0.0000  6 Pt 2.32
Pu1 0.2500 0.7500 0.5000  12 Pt 3.19
Pu2 0.7500 0.2500 0.5000  12 Pt 3.19
Be1 0.5000 0.5000 0.0000  6 Pt 2.20

=====

No. 5
The following is a DFT calculation (PBE-GGA) of a relaxed structure of BePRu2Pt.

Values from the calculation:
- Raw total energy: -6.19 eV/atom
- Spin magnetization: 0.00 Bohr magnetons per cell
- Space-group type: P4/mmm, No. 123
- Calculated formation energy: 558.7 meV per atom
- Crystal system: tetragonal

Cell lengths 4.1636, 4.0677, 4.1636 Å; angles 90.00, 90.00, 90.00 degrees
With the nearest neighbours (Å) after each atom.
Fractional coordinates of all 5 atoms:
Ru1 0.0000 0.0000 0.5000  2 Be 2.08
Ru2 0.5000 0.0000 0.0000  2 Be 2.08
Pt1 0.0000 0.5000 0.0000  2 Be 2.03
Be1 0.0000 0.0000 0.0000  2 Pt 2.03, 4 Ru 2.08
P1 0.5000 0.5000 0.5000  8 Ru 2.91, 4 Pt 2.94

=====

No. 6
The following is a DFT calculation (PBE-GGA) of a relaxed structure of BePPtS2.

Values from the calculation:
- ΔE_f (raw): 0.664 eV/atom
- Raw total energy: -4.02 eV/atom
- Energy relative to the lowest polymorph listed for this composition: 0 meV per atom
- Spin magnetization: 0.00 Bohr magnetons per cell
- Space-group type: P4/mmm, No. 123
- Crystal system: tetragonal

Cell lengths 4.2487, 4.2487, 4.1795 Å; angles 90.00, 90.00, 90.00 degrees
With the nearest neighbours (Å) after each atom.
Fractional coordinates of all 5 atoms:
S1 0.5000 0.0000 0.0000  2 Be 2.12
S2 0.0000 0.5000 0.0000  2 Be 2.12
P1 0.0000 0.0000 0.5000  2 Be 2.09
Be1 0.0000 0.0000 0.0000  2 P 2.09, 4 S 2.12
Pt1 0.5000 0.5000 0.5000  8 S 2.98, 4 P 3.00